## i
Density functional theory data (PBE) for a relaxed structure of SrAc2Pb.

Calculated values
- DOS(E_F): 1.10 states/eV/atom
- Magnetization: 0.0 μB/cell

Cell lengths 5.3514, 5.4050, 5.4050 Å; angles 90.00, 90.00, 90.00 degrees
Last column: nearest neighbours and their distance in Å.
Positions (direct):
Pb (0.5000, 0.5000, 0.5000)  8 Ac 3.80, 4 Sr 3.82
Sr (0.5000, 0.0000, 0.0000)  8 Ac 3.80, 4 Pb 3.82
Ac (0.0000, 0.0000, 0.5000)  4 Pb 3.80, 4 Sr 3.80, 4 Ac 3.82
Ac (0.0000, 0.5000, 0.0000)  4 Sr 3.80, 4 Pb 3.80, 4 Ac 3.82

---

## ii
Density functional theory data (PBE) for a relaxed structure of SrAc2Pb.

Calculated values
- DOS(E_F): 1.07 states/eV/atom
- Magnetization: 0.0 μB/cell

Cell lengths 3.9962, 3.9962, 13.1913 Å; angles 81.29, 81.29, 60.00 degrees
Last column: nearest neighbours and their distance in Å.
Positions (direct):
Pb (0.5000, 0.5000, 0.5000)  6 Ac 3.49
Sr (0.0000, 0.0000, 0.0000)  2 Ac 3.87, 6 Sr 4.00
Ac (0.0993, 0.0993, 0.7020)  3 Pb 3.49, 1 Sr 3.87
Ac (0.9007, 0.9007, 0.2980)  3 Pb 3.49, 1 Sr 3.87

---

Tell me which of them is the most stable. Sure, it is i.

---

## i
Density functional theory data (PBE) for a relaxed structure of Sr2Ac3Pb4.

Calculated values
- DOS(E_F): 0.59 states/eV/atom
- Magnetization: 0.0 μB/cell

Cell lengths 5.1124, 7.3827, 9.8966 Å; angles 102.50, 104.97, 90.00 degrees
Last column: nearest neighbours and their distance in Å.
Positions (direct):
Sr (0.6672, 0.0721, 0.3345)  4 Pb 3.41-3.77
Sr (0.3328, 0.9279, 0.6655)  4 Pb 3.41-3.77
Ac (0.1101, 0.5714, 0.2202)  7 Pb 3.45-3.66
Ac (0.8899, 0.4286, 0.7798)  7 Pb 3.45-3.66
Ac (0.0000, 0.0000, 0.0000)  4 Pb 3.33
Pb (0.4964, 0.7088, 0.9928)  1 Pb 3.12, 2 Ac 3.33
Pb (0.2494, 0.3444, 0.4987)  3 Sr 3.41-3.77, 2 Pb 3.43, 3 Ac 3.45-3.66
Pb (0.5036, 0.2912, 0.0072)  1 Pb 3.12, 2 Ac 3.33
Pb (0.7506, 0.6556, 0.5013)  3 Sr 3.41-3.77, 2 Pb 3.43, 3 Ac 3.45-3.66

---

## ii
Density functional theory data (PBE) for a relaxed structure of Sr2Ac3Pb4.

Calculated values
- DOS(E_F): 0.63 states/eV/atom
- Magnetization: 0.0 μB/cell

Cell lengths 8.1249, 9.8902, 9.9765 Å; angles 90.00, 114.03, 90.00 degrees
Last column: nearest neighbours and their distance in Å.
Positions (direct):
Sr (0.1087, 0.5871, 0.2174)  4 Pb 3.57-4.00
Sr (0.8913, 0.4129, 0.7826)  4 Pb 3.57-4.00
Sr (0.3913, 0.0871, 0.7826)  4 Pb 3.57-4.00
Sr (0.6087, 0.9129, 0.2174)  4 Pb 3.57-4.00
Ac (0.0000, 0.0000, 0.0000)  6 Pb 3.23-3.55
Ac (0.5000, 0.5000, 0.0000)  6 Pb 3.23-3.55
Ac (0.5418, 0.7500, 0.5837)  5 Pb 3.32-3.53
Ac (0.9582, 0.2500, 0.4163)  5 Pb 3.32-3.53
Ac (0.4582, 0.2500, 0.4163)  5 Pb 3.32-3.53
Ac (0.0418, 0.7500, 0.5837)  5 Pb 3.32-3.53
Pb (0.7240, 0.7500, 0.9481)  3 Ac 3.23-3.32, 2 Sr 3.57
Pb (0.7760, 0.2500, 0.0519)  3 Ac 3.23-3.32, 2 Sr 3.57
Pb (0.2760, 0.2500, 0.0519)  3 Ac 3.23-3.32, 2 Sr 3.57
Pb (0.2240, 0.7500, 0.9481)  3 Ac 3.23-3.32, 2 Sr 3.57
Pb (0.1935, 0.9597, 0.3870)  5 Ac 3.41-3.55, 1 Sr 3.82
Pb (0.8065, 0.0403, 0.6130)  5 Ac 3.41-3.55, 1 Sr 3.82
Pb (0.3065, 0.4597, 0.6130)  5 Ac 3.41-3.55, 1 Sr 3.82
Pb (0.6935, 0.5403, 0.3870)  5 Ac 3.41-3.55, 1 Sr 3.82

---

Tell me which of them is the most stable. Sure, it is i.

---

## i
Density functional theory data (PBE) for a relaxed structure of SrAc2Pb2.

Calculated values
- DOS(E_F): 0.60 states/eV/atom
- Magnetization: 0.0 μB/cell

Cell lengths 5.0073, 8.7583, 8.7583 Å; angles 90.00, 90.00, 90.00 degrees
Last column: nearest neighbours and their distance in Å.
Positions (direct):
Sr (0.5000, 0.5000, 0.0000)  4 Pb 3.46
Sr (0.5000, 0.0000, 0.5000)  4 Pb 3.46
Ac (0.0000, 0.6741, 0.3259)  6 Pb 3.53-3.65
Ac (0.0000, 0.8259, 0.8259)  6 Pb 3.53-3.65
Ac (0.0000, 0.1741, 0.1741)  6 Pb 3.53-3.65
Ac (0.0000, 0.3259, 0.6741)  6 Pb 3.53-3.65
Pb (0.5000, 0.3749, 0.3749)  1 Pb 3.10, 2 Sr 3.46
Pb (0.5000, 0.8749, 0.1251)  1 Pb 3.10, 2 Sr 3.46
Pb (0.5000, 0.1251, 0.8749)  1 Pb 3.10, 2 Sr 3.46
Pb (0.5000, 0.6251, 0.6251)  1 Pb 3.10, 2 Sr 3.46

---

## ii
Density functional theory data (PBE) for a relaxed structure of SrAc2Pb2.

Calculated values
- DOS(E_F): 0.97 states/eV/atom
- Magnetization: 0.0 μB/cell

Cell lengths 5.2970, 5.2969, 8.4155 Å; angles 109.51, 109.51, 89.92 degrees
Last column: nearest neighbours and their distance in Å.
Positions (direct):
Sr (0.0000, 0.0000, 0.0000)  8 Pb 3.92-4.16
Ac (0.2492, 0.7508, 0.5000)  4 Pb 3.44-3.45, 4 Ac 3.73-3.76
Ac (0.7508, 0.2492, 0.5000)  4 Pb 3.44-3.45, 4 Ac 3.73-3.76
Pb (0.5904, 0.5904, 0.2033)  1 Pb 3.03
Pb (0.4096, 0.4096, 0.7967)  1 Pb 3.03

---

Tell me which of them is the most stable. Sure, it is i.

---

## i
Density functional theory data (PBE) for a relaxed structure of SrAcPb3.

Calculated values
- DOS(E_F): 0.51 states/eV/atom
- Magnetization: 0.0 μB/cell

Cell lengths 8.5301, 8.5752, 9.7859 Å; angles 90.00, 90.00, 90.00 degrees
Last column: nearest neighbours and their distance in Å.
Positions (direct):
Sr (0.3240, 0.1725, 0.5000)  6 Pb 3.42-3.58
Sr (0.6760, 0.8275, 0.5000)  6 Pb 3.42-3.58
Sr (0.8240, 0.3274, 0.0000)  6 Pb 3.42-3.58
Sr (0.1760, 0.6726, 0.0000)  6 Pb 3.42-3.58
Ac (0.1759, 0.6724, 0.5000)  6 Pb 3.43-3.57
Ac (0.3241, 0.1724, 0.0000)  6 Pb 3.43-3.57
Ac (0.8241, 0.3276, 0.5000)  6 Pb 3.43-3.57
Ac (0.6759, 0.8276, 0.0000)  6 Pb 3.43-3.57
Pb (0.6269, 0.1282, 0.2494)  3 Pb 3.08-3.37, 1 Sr 3.42, 1 Ac 3.43
Pb (0.1269, 0.3718, 0.7494)  3 Pb 3.08-3.37, 1 Sr 3.42, 1 Ac 3.43
Pb (0.5000, 0.5000, 0.2499)  4 Pb 3.37
Pb (0.0000, 0.0000, 0.2501)  4 Pb 3.37
Pb (0.5000, 0.5000, 0.7501)  4 Pb 3.37
Pb (0.3731, 0.8718, 0.7506)  3 Pb 3.08-3.37, 1 Sr 3.42, 1 Ac 3.43
Pb (0.3731, 0.8718, 0.2494)  3 Pb 3.08-3.37, 1 Sr 3.42, 1 Ac 3.43
Pb (0.6269, 0.1282, 0.7506)  3 Pb 3.08-3.37, 1 Sr 3.42, 1 Ac 3.43
Pb (0.8731, 0.6282, 0.2506)  3 Pb 3.08-3.37, 1 Sr 3.42, 1 Ac 3.43
Pb (0.0000, 0.0000, 0.7499)  4 Pb 3.37
Pb (0.8731, 0.6281, 0.7494)  3 Pb 3.08-3.37, 1 Sr 3.42, 1 Ac 3.43
Pb (0.1269, 0.3719, 0.2506)  3 Pb 3.08-3.37, 1 Sr 3.42, 1 Ac 3.43

---

## ii
Density functional theory data (PBE) for a relaxed structure of SrAcPb3.

Calculated values
- DOS(E_F): 0.50 states/eV/atom
- Magnetization: 0.0 μB/cell

Cell lengths 10.2458, 9.1820, 9.1820 Å; angles 59.41, 90.02, 90.02 degrees
Last column: nearest neighbours and their distance in Å.
Positions (direct):
Sr (0.2500, 0.9993, 0.0007)  8 Pb 3.50-3.51
Sr (0.7500, 0.0007, 0.9993)  8 Pb 3.50-3.51
Sr (0.2500, 0.4978, 0.5022)  12 Pb 4.07-4.13, 1 Sr 4.54
Sr (0.7500, 0.5022, 0.4978)  12 Pb 4.07-4.13, 1 Sr 4.54
Ac (0.7492, 0.4998, 0.9998)  8 Pb 3.51-3.54
Ac (0.7508, 0.0002, 0.5002)  8 Pb 3.51-3.54
Ac (0.2508, 0.5002, 0.0002)  8 Pb 3.51-3.54
Ac (0.2492, 0.9998, 0.4998)  8 Pb 3.51-3.54
Pb (0.4995, 0.2962, 0.9032)  3 Pb 3.20-3.55, 2 Sr 3.50-3.51, 2 Ac 3.53-3.54
Pb (0.0005, 0.0968, 0.7038)  3 Pb 3.20-3.55, 2 Sr 3.50-3.51, 2 Ac 3.53-3.54
Pb (0.5005, 0.7038, 0.0968)  3 Pb 3.20-3.55, 2 Sr 3.50-3.51, 2 Ac 3.53-3.54
Pb (0.9995, 0.9032, 0.2962)  3 Pb 3.20-3.55, 2 Sr 3.50-3.51, 2 Ac 3.53-3.54
Pb (0.9996, 0.7057, 0.0921)  3 Pb 3.20-3.55, 2 Sr 3.50, 2 Ac 3.54
Pb (0.5004, 0.9079, 0.2943)  3 Pb 3.20-3.55, 2 Sr 3.50, 2 Ac 3.54
Pb (0.0004, 0.2943, 0.9079)  3 Pb 3.20-3.55, 2 Sr 3.50, 2 Ac 3.54
Pb (0.4996, 0.0921, 0.7057)  3 Pb 3.20-3.55, 2 Sr 3.50, 2 Ac 3.54
Pb (0.5002, 0.2980, 0.2998)  2 Pb 3.21, 4 Ac 3.51-3.52
Pb (0.9998, 0.7002, 0.7020)  2 Pb 3.21, 4 Ac 3.51-3.52
Pb (0.4998, 0.7020, 0.7002)  2 Pb 3.21, 4 Ac 3.51-3.52
Pb (0.0002, 0.2998, 0.2980)  2 Pb 3.21, 4 Ac 3.51-3.52

---

Tell me which of them is the most stable. Sure, it is i.

---

## i
Density functional theory data (PBE) for a relaxed structure of Sr2AcPb.

Calculated values
- DOS(E_F): 1.03 states/eV/atom
- Magnetization: 0.0 μB/cell

Cell lengths 3.9500, 3.9500, 13.7384 Å; angles 81.73, 81.73, 60.00 degrees
Last column: nearest neighbours and their distance in Å.
Positions (direct):
Pb (0.0000, 0.0000, 0.0000)  2 Sr 3.40
Sr (0.0836, 0.0836, 0.7491)  1 Pb 3.40
Sr (0.9164, 0.9164, 0.2509)  1 Pb 3.40
Ac (0.5000, 0.5000, 0.5000)  6 Ac 3.95, 6 Sr 4.07

---

## ii
Density functional theory data (PBE) for a relaxed structure of Sr2AcPb.

Calculated values
- DOS(E_F): 0.68 states/eV/atom
- Magnetization: 0.0 μB/cell

Cell lengths 3.9604, 3.9604, 10.6685 Å; angles 90.00, 90.00, 90.00 degrees
Last column: nearest neighbours and their distance in Å.
Positions (direct):
Pb (0.5000, 0.5000, 0.0000)  8 Sr 3.53
Sr (0.0000, 0.0000, 0.7983)  4 Pb 3.53
Sr (0.0000, 0.0000, 0.2017)  4 Pb 3.53
Ac (0.5000, 0.5000, 0.5000)  4 Ac 3.96, 8 Sr 4.24

---

## iii
Density functional theory data (PBE) for a relaxed structure of Sr2AcPb.

Calculated values
- DOS(E_F): 0.76 states/eV/atom
- Magnetization: 0.0 μB/cell

Cell lengths 5.6348, 5.3141, 5.3141 Å; angles 90.00, 90.00, 90.00 degrees
Last column: nearest neighbours and their distance in Å.
Positions (direct):
Pb (0.5000, 0.5000, 0.5000)  4 Ac 3.76, 8 Sr 3.87
Sr (0.0000, 0.0000, 0.5000)  4 Sr 3.76, 4 Ac 3.87, 4 Pb 3.87
Sr (0.0000, 0.5000, 0.0000)  4 Sr 3.76, 4 Pb 3.87, 4 Ac 3.87
Ac (0.5000, 0.0000, 0.0000)  4 Pb 3.76, 8 Sr 3.87

---

Tell me which of them is the most stable. Sure, it is iii.

---

## i
Density functional theory data (PBE) for a relaxed structure of AcTbPb.

Calculated values
- DOS(E_F): 1.36 states/eV/atom
- Magnetization: 0.0 μB/cell

Cell lengths 5.4654, 5.4654, 5.4654 Å; angles 60.00, 60.00, 60.00 degrees
Last column: nearest neighbours and their distance in Å.
Positions (direct):
Pb (0.2500, 0.2500, 0.2500)  4 Tb 3.35, 4 Ac 3.35
Ac (0.5000, 0.5000, 0.5000)  4 Pb 3.35
Tb (0.0000, 0.0000, 0.0000)  4 Pb 3.35

---

## ii
Density functional theory data (PBE) for a relaxed structure of AcTbPb.

Calculated values
- DOS(E_F): 0.43 states/eV/atom
- Magnetization: 0.0 μB/cell

Cell lengths 4.5239, 5.2718, 5.2718 Å; angles 120.00, 90.00, 90.00 degrees
Last column: nearest neighbours and their distance in Å.
Positions (direct):
Pb (0.1664, 0.0000, 0.0000)  3 Tb 3.04
Ac (0.6667, 0.3333, 0.6667)  6 Pb 3.79, 6 Tb 3.79
Tb (0.1669, 0.6667, 0.3333)  3 Pb 3.04

---

## iii
Density functional theory data (PBE) for a relaxed structure of AcTbPb.

Calculated values
- DOS(E_F): 1.00 states/eV/atom
- Magnetization: 1.3 μB/cell

Cell lengths 4.8479, 4.8479, 9.6418 Å; angles 104.56, 104.56, 89.99 degrees
Last column: nearest neighbours and their distance in Å.
Positions (direct):
Ac (0.3232, 0.3232, 0.6463)  5 Pb 3.55-3.56
Ac (0.6768, 0.6768, 0.3537)  5 Pb 3.55-3.56
Tb (0.5000, 0.0000, 0.0000)  4 Pb 3.32, 4 Tb 3.43
Tb (0.0000, 0.5000, 0.0000)  4 Pb 3.32, 4 Tb 3.43
Pb (0.8741, 0.8741, 0.7482)  4 Tb 3.32, 5 Ac 3.55-3.56
Pb (0.1259, 0.1259, 0.2518)  4 Tb 3.32, 5 Ac 3.55-3.56

---

## iv
Density functional theory data (PBE) for a relaxed structure of AcTbPb.

Calculated values
- DOS(E_F): 1.66 states/eV/atom
- Magnetization: 0.4 μB/cell

Cell lengths 3.6040, 3.6040, 9.4249 Å; angles 101.02, 101.02, 90.00 degrees
Last column: nearest neighbours and their distance in Å.
Positions (direct):
Pb (0.1401, 0.1401, 0.2802)  4 Tb 3.29, 1 Ac 3.35, 4 Pb 3.60
Ac (0.9556, 0.9556, 0.9112)  1 Pb 3.35, 4 Ac 3.60, 1 Tb 3.65
Tb (0.7543, 0.7543, 0.5087)  4 Pb 3.29, 4 Tb 3.60, 1 Ac 3.65

---

Tell me which of them is the most stable. Sure, it is iii.

---

## i
Density functional theory data (PBE) for a relaxed structure of Ac2TbPb3.

Calculated values
- DOS(E_F): 0.85 states/eV/atom
- Magnetization: 0.0 μB/cell

Cell lengths 6.7569, 7.8438, 9.1516 Å; angles 102.36, 111.66, 90.00 degrees
Last column: nearest neighbours and their distance in Å.
Positions (direct):
Ac (0.6673, 0.5845, 0.3380)  6 Pb 3.38-3.49
Ac (0.6707, 0.0845, 0.3380)  6 Pb 3.38-3.49
Ac (0.3293, 0.9155, 0.6620)  6 Pb 3.38-3.49
Ac (0.3327, 0.4155, 0.6620)  6 Pb 3.38-3.49
Tb (0.9956, 0.7500, 0.0000)  6 Pb 3.25-3.38
Tb (0.0044, 0.2500, 0.0000)  6 Pb 3.25-3.38
Pb (0.5053, 0.2500, 0.0000)  2 Tb 3.37-3.38, 4 Ac 3.42
Pb (0.4947, 0.7500, 0.0000)  2 Tb 3.37-3.38, 4 Ac 3.42
Pb (0.1583, 0.0784, 0.3130)  2 Tb 3.25, 4 Ac 3.38-3.49
Pb (0.8452, 0.4216, 0.6870)  2 Tb 3.25, 4 Ac 3.38-3.49
Pb (0.1548, 0.5784, 0.3130)  2 Tb 3.25, 4 Ac 3.38-3.49
Pb (0.8417, 0.9216, 0.6870)  2 Tb 3.25, 4 Ac 3.38-3.49

---

## ii
Density functional theory data (PBE) for a relaxed structure of Ac2TbPb3.

Calculated values
- DOS(E_F): 0.83 states/eV/atom
- Magnetization: 0.0 μB/cell

Cell lengths 5.9956, 9.9053, 7.5265 Å; angles 90.00, 90.00, 62.98 degrees
Last column: nearest neighbours and their distance in Å.
Positions (direct):
Ac (0.0000, 0.0000, 0.0000)  8 Pb 3.47-3.57, 2 Ac 3.76
Ac (0.0000, 0.0000, 0.5000)  8 Pb 3.61-3.73, 4 Ac 3.76-3.88
Ac (0.3181, 0.3226, 0.5000)  8 Pb 3.50-3.64, 2 Tb 3.76, 2 Ac 3.84-3.88
Ac (0.6819, 0.6774, 0.5000)  8 Pb 3.50-3.64, 2 Tb 3.76, 2 Ac 3.84-3.88
Tb (0.3090, 0.3291, 0.0000)  8 Pb 3.40-3.48, 1 Tb 3.71, 2 Ac 3.76
Tb (0.6910, 0.6709, 0.0000)  8 Pb 3.40-3.48, 1 Tb 3.71, 2 Ac 3.76
Pb (0.7945, 0.3521, 0.7708)  3 Tb 3.40-3.48, 2 Pb 3.41-3.45, 5 Ac 3.57-3.73
Pb (0.5000, 0.0000, 0.2330)  2 Tb 3.41, 6 Ac 3.47-3.61, 1 Pb 3.51
Pb (0.2055, 0.6479, 0.2292)  3 Tb 3.40-3.48, 2 Pb 3.41-3.45, 5 Ac 3.57-3.73
Pb (0.7945, 0.3521, 0.2292)  3 Tb 3.40-3.48, 2 Pb 3.41-3.45, 5 Ac 3.57-3.73
Pb (0.2055, 0.6479, 0.7708)  3 Tb 3.40-3.48, 2 Pb 3.41-3.45, 5 Ac 3.57-3.73
Pb (0.5000, 0.0000, 0.7670)  2 Tb 3.41, 6 Ac 3.47-3.61, 1 Pb 3.51

---

Tell me which of them is the most stable. Sure, it is ii.

---

## i
Density functional theory data (PBE) for a relaxed structure of AcTb2Pb.

Calculated values
- DOS(E_F): 1.54 states/eV/atom
- Magnetization: 0.0 μB/cell

Cell lengths 5.6235, 5.6235, 5.6235 Å; angles 60.00, 60.00, 60.00 degrees
Last column: nearest neighbours and their distance in Å.
Positions (direct):
Pb (0.5000, 0.5000, 0.5000)  8 Tb 3.44
Ac (0.0000, 0.0000, 0.0000)  8 Tb 3.44
Tb (0.2500, 0.2500, 0.2500)  4 Ac 3.44, 4 Pb 3.44
Tb (0.7500, 0.7500, 0.7500)  4 Pb 3.44, 4 Ac 3.44

---

## ii
Density functional theory data (PBE) for a relaxed structure of AcTb2Pb.

Calculated values
- DOS(E_F): 0.79 states/eV/atom
- Magnetization: 0.0 μB/cell

Cell lengths 3.6674, 3.6674, 12.5008 Å; angles 81.56, 81.56, 60.00 degrees
Last column: nearest neighbours and their distance in Å.
Positions (direct):
Pb (0.0000, 0.0000, 0.0000)  2 Tb 3.17
Ac (0.5000, 0.5000, 0.5000)  6 Tb 3.66, 6 Ac 3.67
Tb (0.0858, 0.0858, 0.7426)  1 Pb 3.17
Tb (0.9142, 0.9142, 0.2574)  1 Pb 3.17

---

Tell me which of them is the most stable. Sure, it is i.